Entry from Alexandria: a relaxed Sc2BeIn crystal (PBE).

The calculation puts the total moment at 0.0 μB per formula unit. The crystal system is orthorhombic. As for the formation energy: 10.2 kJ per mole of atoms.

The space group is Pmm2 (No. 25) and the conventional cell measures 3.2449, 4.2493 and 5.9679 Å, with angles of 90.00, 90.00 and 90.00 degrees. The inequivalent atoms are Sc at (0.0000, 0.0000, 0.0000), Sc at (0.5000, 0.5000, 0.2814), Be at (0.0000, 0.0000, 0.4756) and In at (0.5000, 0.5000, 0.7600).